1.
Entry from Alexandria: a geometry-optimized Dy2AsH structure (PBE).

Values from the calculation:
As for the density of states at the Fermi level: 0.7072 states/eV per atom. The calculation puts the total energy at -4.9517 eV/atom. The energy above the most stable polymorph in this dataset is 1.11 eV/f.u. The calculation puts the volume at 312 Å³ per cell.

```
12
Lattice="4.0850 0.0000 0.0000 -2.0425 3.5377 0.0000 0.0000 0.0000 21.5988" Properties=species:S:1:pos:R:3 pbc="T T T"
Dy 0.0000 0.0000 2.0241
Dy 0.0000 0.0000 19.5747
Dy 0.0000 2.3585 12.3751
Dy 0.0000 2.3585 16.4233
Dy 2.0425 1.1792 5.1755
Dy 2.0425 1.1792 9.2237
As 0.0000 0.0000 10.7994
As 0.0000 2.3585 3.5998
As 2.0425 1.1792 17.9990
H 0.0000 0.0000 0.0000
H 0.0000 2.3585 14.3992
H 2.0425 1.1792 7.1996
```



2.
Entry from Alexandria: a geometry-optimized DyAsHRh structure (PBE).

Values from the calculation:
As for the density of states at the Fermi level: 0.3426 states/eV per atom. The calculation puts the total energy at -5.8791 eV/atom. The calculation puts the volume at 118 Å³ per cell.

```
8
Lattice="4.0234 0.0000 0.0000 0.0000 4.0234 0.0000 0.0000 0.0000 7.2965" Properties=species:S:1:pos:R:3 pbc="T T T"
Dy 1.0059 1.0059 1.1449
Dy 3.0176 3.0176 6.1516
As 1.0059 1.0059 5.1568
As 3.0176 3.0176 2.1397
H 1.0059 3.0176 0.0000
H 3.0176 1.0059 0.0000
Rh 1.0059 3.0176 3.6482
Rh 3.0176 1.0059 3.6482
```



3.
Entry from Alexandria: a geometry-optimized DyAsH2Ru structure (PBE).

Values from the calculation:
As for the density of states at the Fermi level: 0.3301 states/eV per atom. The calculation puts the total energy at -5.6869 eV/atom. The calculation puts the volume at 122 Å³ per cell.

```
10
Lattice="1.9829 -5.0548 0.0000 1.9829 5.0548 0.0000 0.0000 0.0000 6.0660" Properties=species:S:1:pos:R:3 pbc="T T T"
Dy 1.9829 2.9151 4.5495
Dy 1.9829 -2.9151 1.5165
As 1.9829 4.3196 1.5165
As 1.9829 -4.3196 4.5495
H 1.9829 1.7001 0.3782
H 1.9829 1.7001 2.6547
H 1.9829 -1.7001 3.4112
H 1.9829 -1.7001 5.6877
Ru 1.9829 0.0000 0.0000
Ru 1.9829 0.0000 3.0330
```



4.
Entry from Alexandria: a geometry-optimized Dy8Te4As3H structure (PBE).

Values from the calculation:
As for the density of states at the Fermi level: 0.4675 states/eV per atom. The calculation puts the total energy at -5.4236 eV/atom. The calculation puts the volume at 418 Å³ per cell.

```
16
Lattice="4.1429 2.3919 7.0298 -4.1429 2.3919 7.0298 0.0000 -4.7839 7.0298" Properties=species:S:1:pos:R:3 pbc="T T T"
Dy 0.0000 0.0000 5.0305
Dy -2.0616 -1.1903 12.0742
Dy 0.0000 -2.3805 9.0151
Dy -2.0616 1.1903 9.0151
Dy 2.0616 -1.1903 12.0742
Dy 0.0000 2.3805 12.0742
Dy 2.0616 1.1903 9.0151
Dy 0.0000 0.0000 16.0588
Te 0.0000 0.0000 0.0000
Te -2.0715 -1.1960 7.0298
Te -2.0715 1.1960 14.0595
Te 0.0000 2.3919 7.0298
As -4.1429 0.0000 10.5447
As -2.0715 1.1960 3.5149
As 2.0715 1.1960 3.5149
H 0.0000 0.0000 10.5447
```



5.
Entry from Alexandria: a geometry-optimized DyHfAs2 structure (PBE).

Values from the calculation:
As for the density of states at the Fermi level: 0.6565 states/eV per atom. The energy of formation from the pure elements is -1.1709 eV/atom. The calculation puts the total energy at -7.1346 eV/atom. The energy above the most stable polymorph in this dataset is 0.35 eV/f.u. The calculation puts the volume at 268 Å³ per cell.

```
12
Lattice="3.8923 0.0000 0.0000 -1.9462 3.3708 0.0000 0.0000 0.0000 20.4379" Properties=species:S:1:pos:R:3 pbc="T T T"
Dy 0.0000 0.0000 0.0000
Dy 0.0000 2.2472 13.6253
Dy 1.9462 1.1236 6.8126
Hf 0.0000 0.0000 3.5541
Hf 0.0000 2.2472 17.1794
Hf 1.9462 1.1236 10.3667
As 0.0000 0.0000 11.8502
As 0.0000 0.0000 15.5453
As 0.0000 2.2472 5.0376
As 0.0000 2.2472 8.7327
As 1.9462 1.1236 1.9200
As 1.9462 1.1236 18.6628
```



6.
Entry from Alexandria: a geometry-optimized DyHf2As4 structure (PBE).

Values from the calculation:
As for the density of states at the Fermi level: 0.3181 states/eV per atom. The energy of formation from the pure elements is -0.9010 eV/atom. The calculation puts the total energy at -7.0591 eV/atom. The calculation puts the volume at 317 Å³ per cell.

```
14
Lattice="1.9275 -6.3685 0.0000 1.9275 6.3685 0.0000 0.0000 0.0000 12.9125" Properties=species:S:1:pos:R:3 pbc="T T T"
Dy 1.9275 4.9544 9.6844
Dy 1.9275 -4.9544 3.2281
Hf 1.9275 1.7121 7.2268
Hf 1.9275 1.7121 12.1420
Hf 1.9275 -1.7121 0.7706
Hf 1.9275 -1.7121 5.6857
As 0.0000 0.0000 0.0000
As 0.0000 0.0000 6.4563
As 1.9275 2.9841 1.6350
As 1.9275 2.9841 4.8213
As 1.9275 0.7455 9.6844
As 1.9275 -0.7455 3.2281
As 1.9275 -2.9841 8.0912
As 1.9275 -2.9841 11.2775
```



7.
Entry from Alexandria: a geometry-optimized Dy5HfAs6 structure (PBE).

Values from the calculation:
As for the density of states at the Fermi level: 0.2521 states/eV per atom. The energy of formation from the pure elements is -1.4485 eV/atom. The calculation puts the total energy at -6.5203 eV/atom. The calculation puts the volume at 284 Å³ per cell.

```
12
Lattice="3.5201 -6.0918 0.0000 3.5201 6.0918 0.0000 -2.3534 0.0000 6.6268" Properties=species:S:1:pos:R:3 pbc="T T T"
Dy 0.0000 0.0000 0.0000
Dy 2.3434 4.0752 3.3134
Dy 3.5201 2.0695 0.0000
Dy 3.5201 -2.0695 0.0000
Dy 2.3434 -4.0752 3.3134
Hf 2.3434 0.0000 3.3134
As 1.2112 1.9675 1.7069
As 0.0765 0.0000 4.9374
As 1.2112 -1.9675 1.7069
As 3.4756 1.9675 4.9199
As 4.6103 0.0000 1.6895
As 3.4756 -1.9675 4.9199
```



8.
Entry from Alexandria: a geometry-optimized Dy2HfAs3 structure (PBE).

Values from the calculation:
As for the density of states at the Fermi level: 0.3539 states/eV per atom. The energy of formation from the pure elements is -1.3144 eV/atom. The calculation puts the total energy at -6.8321 eV/atom. The calculation puts the volume at 274 Å³ per cell.

```
12
Lattice="4.0180 0.0000 0.0000 0.0000 4.0180 0.0000 0.0000 0.0000 16.9715" Properties=species:S:1:pos:R:3 pbc="T T T"
Dy 0.0000 0.0000 2.8425
Dy 0.0000 0.0000 14.1290
Dy 2.0090 2.0090 5.6432
Dy 2.0090 2.0090 11.3283
Hf 0.0000 0.0000 8.4857
Hf 2.0090 2.0090 0.0000
As 0.0000 0.0000 0.0000
As 0.0000 0.0000 5.7536
As 0.0000 0.0000 11.2179
As 2.0090 2.0090 2.7322
As 2.0090 2.0090 8.4857
As 2.0090 2.0090 14.2393
```



Sequential density output: 6.40 9.60 9.30 8.09 9.12 8.58 8.42 8.83 Mg/m³